An optimized crystal structure of Al3VPd. Source: the Alexandria database, functional PBE.

CIF file:
```
data_Al3VPd
_chemical_formula_sum 'Al3 V1 Pd1'
_cell_length_a 4.6613
_cell_length_b 4.6613
_cell_length_c 4.6613
_cell_angle_alpha 90.00
_cell_angle_beta 90.00
_cell_angle_gamma 90.00
_space_group_name_H-M_alt 'P m -3 m'
_space_group_IT_number 221
_space_group_name_Hall '-P 4 2 3'
loop_
_atom_site_label
_atom_site_fract_x
_atom_site_fract_y
_atom_site_fract_z
_atom_site_occupancy
Al1 0.0000 0.0000 0.5000 1
V1 0.5000 0.5000 0.5000 1
Pd1 0.0000 0.0000 0.0000 1
```

Results
Final energy ... -23.8 eV per cell
Crystal system ... cubic
ΔE to the lowest computed polymorph ... 0.00 kJ/mol of atoms



An optimized crystal structure of Al2VPd. Source: the Alexandria database, functional PBE.

CIF file:
```
data_Al2VPd
_chemical_formula_sum 'Al8 V4 Pd4'
_cell_length_a 6.1686
_cell_length_b 6.1686
_cell_length_c 6.1686
_cell_angle_alpha 90.00
_cell_angle_beta 90.00
_cell_angle_gamma 90.00
_space_group_name_H-M_alt 'F m -3 m'
_space_group_IT_number 225
_space_group_name_Hall '-F 4 2 3'
loop_
_atom_site_label
_atom_site_fract_x
_atom_site_fract_y
_atom_site_fract_z
_atom_site_occupancy
Al1 0.2500 0.2500 0.2500 1
V1 0.0000 0.0000 0.0000 1
Pd1 0.0000 0.0000 0.5000 1
```

Results
Final energy ... -94.2 eV per cell
Crystal system ... cubic



An optimized crystal structure of AlVPd14. Source: the Alexandria database, functional PBE.

CIF file:
```
data_AlVPd14
_chemical_formula_sum 'Al1 V1 Pd14'
_cell_length_a 5.5829
_cell_length_b 5.5829
_cell_length_c 7.7482
_cell_angle_alpha 90.00
_cell_angle_beta 90.00
_cell_angle_gamma 90.00
_space_group_name_H-M_alt 'P 4/m m m'
_space_group_IT_number 123
_space_group_name_Hall '-P 4 2'
loop_
_atom_site_label
_atom_site_fract_x
_atom_site_fract_y
_atom_site_fract_z
_atom_site_occupancy
Al1 0.0000 0.0000 0.0000 1
V1 0.5000 0.5000 0.0000 1
Pd1 0.0000 0.0000 0.5000 1
Pd2 0.0000 0.5000 0.0000 1
Pd3 0.0000 0.5000 0.5000 1
Pd4 0.2510 0.2510 0.2406 1
Pd5 0.5000 0.5000 0.5000 1
```

Results
Final energy ... -89.2 eV per cell
Crystal system ... tetragonal



An optimized crystal structure of Al2VPd. Source: the Alexandria database, functional PBE.

CIF file:
```
data_Al2VPd
_chemical_formula_sum 'Al8 V4 Pd4'
_cell_length_a 6.8718
_cell_length_b 6.8718
_cell_length_c 5.5173
_cell_angle_alpha 90.00
_cell_angle_beta 90.00
_cell_angle_gamma 90.00
_space_group_name_H-M_alt 'I -4 2 d'
_space_group_IT_number 122
_space_group_name_Hall 'I -4 2bw'
loop_
_atom_site_label
_atom_site_fract_x
_atom_site_fract_y
_atom_site_fract_z
_atom_site_occupancy
Al1 0.2316 0.7500 0.1250 1
V1 0.0000 0.0000 0.5000 1
Pd1 0.0000 0.0000 0.0000 1
```

Results
Final energy ... -87.2 eV per cell
Crystal system ... tetragonal



An optimized crystal structure of AlVPd. Source: the Alexandria database, functional PBE.

CIF file:
```
data_AlVPd
_chemical_formula_sum 'Al2 V2 Pd2'
_cell_length_a 2.8030
_cell_length_b 2.8030
_cell_length_c 10.9130
_cell_angle_alpha 90.00
_cell_angle_beta 90.00
_cell_angle_gamma 90.00
_space_group_name_H-M_alt 'I 4 m m'
_space_group_IT_number 107
_space_group_name_Hall 'I 4 -2'
loop_
_atom_site_label
_atom_site_fract_x
_atom_site_fract_y
_atom_site_fract_z
_atom_site_occupancy
Al1 0.0000 0.0000 0.0000 1
V1 0.0000 0.0000 0.3353 1
Pd1 0.0000 0.0000 0.6590 1
```

Results
Final energy ... -38.8 eV per cell
Crystal system ... tetragonal



An optimized crystal structure of AlVPd. Source: the Alexandria database, functional PBE.

CIF file:
```
data_AlVPd
_chemical_formula_sum 'Al6 V6 Pd6'
_cell_length_a 4.2205
_cell_length_b 4.2205
_cell_length_c 18.3841
_cell_angle_alpha 90.00
_cell_angle_beta 90.00
_cell_angle_gamma 120.00
_space_group_name_H-M_alt 'R -3 m'
_space_group_IT_number 166
_space_group_name_Hall '-R 3 2"'
loop_
_atom_site_label
_atom_site_fract_x
_atom_site_fract_y
_atom_site_fract_z
_atom_site_occupancy
Al1 0.0000 0.0000 0.2104 1
V1 0.0000 0.0000 0.3596 1
Pd1 0.0000 0.0000 0.0735 1
```

Results
Final energy ... -113.5 eV per cell
Crystal system ... trigonal



An optimized crystal structure of AlVPd5. Source: the Alexandria database, functional PBE.

CIF file:
```
data_AlVPd5
_chemical_formula_sum 'Al4 V4 Pd20'
_cell_length_a 9.4677
_cell_length_b 9.0255
_cell_length_c 6.6126
_cell_angle_alpha 90.00
_cell_angle_beta 120.49
_cell_angle_gamma 90.00
_space_group_name_H-M_alt 'C 1 2/c 1'
_space_group_IT_number 15
loop_
_space_group_symop_operation_xyz
'x,y,z'
'-x,-y,-z'
'-x,y,-z+1/2'
'x,-y,z+1/2'
'x+1/2,y+1/2,z'
'-x+1/2,-y+1/2,-z'
'-x+1/2,y+1/2,-z+1/2'
'x+1/2,-y+1/2,z+1/2'
loop_
_atom_site_label
_atom_site_fract_x
_atom_site_fract_y
_atom_site_fract_z
_atom_site_occupancy
Al1 0.0000 0.0000 0.0000 1
V1 0.0000 0.4669 0.2500 1
Pd1 0.0000 0.1944 0.2500 1
Pd2 0.1138 0.3040 0.9858 1
Pd3 0.2044 0.4042 0.6631 1
```

Results
Final energy ... -156.6 eV per cell
Crystal system ... monoclinic
ΔE to the lowest computed polymorph ... 37.18 kJ/mol of atoms



An optimized crystal structure of Al2VPd. Source: the Alexandria database, functional PBE.

CIF file:
```
data_Al2VPd
_chemical_formula_sum 'Al6 V3 Pd3'
_cell_length_a 2.8252
_cell_length_b 2.8252
_cell_length_c 25.7321
_cell_angle_alpha 90.00
_cell_angle_beta 90.00
_cell_angle_gamma 120.00
_space_group_name_H-M_alt 'R -3 m'
_space_group_IT_number 166
_space_group_name_Hall '-R 3 2"'
loop_
_atom_site_label
_atom_site_fract_x
_atom_site_fract_y
_atom_site_fract_z
_atom_site_occupancy
Al1 0.0000 0.0000 0.2488 1
V1 0.0000 0.0000 0.0000 1
Pd1 0.0000 0.0000 0.5000 1
```

Results
Final energy ... -69.8 eV per cell
Crystal system ... trigonal



An optimized crystal structure of Al2VPd8. Source: the Alexandria database, functional PBE.

CIF file:
```
data_Al2VPd8
_chemical_formula_sum 'Al4 V2 Pd16'
_cell_length_a 13.6437
_cell_length_b 4.0770
_cell_length_c 6.2929
_cell_angle_alpha 90.00
_cell_angle_beta 110.79
_cell_angle_gamma 90.00
_space_group_name_H-M_alt 'C 1 2/m 1'
_space_group_IT_number 12
loop_
_space_group_symop_operation_xyz
'x,y,z'
'-x,-y,-z'
'-x,y,-z'
'x,-y,z'
'x+1/2,y+1/2,z'
'-x+1/2,-y+1/2,-z'
'-x+1/2,y+1/2,-z'
'x+1/2,-y+1/2,z'
loop_
_atom_site_label
_atom_site_fract_x
_atom_site_fract_y
_atom_site_fract_z
_atom_site_occupancy
Al1 0.2140 0.0000 0.1556 1
V1 0.0000 0.5000 0.5000 1
Pd1 0.0384 0.0000 0.2342 1
Pd2 0.1074 0.5000 0.9576 1
Pd3 0.1515 0.0000 0.7075 1
Pd4 0.1754 0.5000 0.4286 1
```

Results
Final energy ... -127.3 eV per cell
Crystal system ... monoclinic



An optimized crystal structure of Al3VPd12. Source: the Alexandria database, functional PBE.

CIF file:
```
data_Al3VPd12
_chemical_formula_sum 'Al3 V1 Pd12'
_cell_length_a 3.8976
_cell_length_b 3.8976
_cell_length_c 15.6251
_cell_angle_alpha 90.00
_cell_angle_beta 90.00
_cell_angle_gamma 90.00
_space_group_name_H-M_alt 'P 4/m m m'
_space_group_IT_number 123
_space_group_name_Hall '-P 4 2'
loop_
_atom_site_label
_atom_site_fract_x
_atom_site_fract_y
_atom_site_fract_z
_atom_site_occupancy
Al1 0.0000 0.0000 0.0000 1
Al2 0.0000 0.0000 0.2459 1
V1 0.0000 0.0000 0.5000 1
Pd1 0.0000 0.5000 0.1258 1
Pd2 0.0000 0.5000 0.3784 1
Pd3 0.5000 0.5000 0.0000 1
Pd4 0.5000 0.5000 0.2523 1
Pd5 0.5000 0.5000 0.5000 1
```

Results
Final energy ... -91.2 eV per cell
Crystal system ... tetragonal



An optimized crystal structure of AlV3Pd12. Source: the Alexandria database, functional PBE.

CIF file:
```
data_AlV3Pd12
_chemical_formula_sum 'Al1 V3 Pd12'
_cell_length_a 3.8955
_cell_length_b 3.8955
_cell_length_c 15.6328
_cell_angle_alpha 90.00
_cell_angle_beta 90.00
_cell_angle_gamma 90.00
_space_group_name_H-M_alt 'P 4/m m m'
_space_group_IT_number 123
_space_group_name_Hall '-P 4 2'
loop_
_atom_site_label
_atom_site_fract_x
_atom_site_fract_y
_atom_site_fract_z
_atom_site_occupancy
Al1 0.0000 0.0000 0.0000 1
V1 0.0000 0.0000 0.2473 1
V2 0.0000 0.0000 0.5000 1
Pd1 0.0000 0.5000 0.1271 1
Pd2 0.0000 0.5000 0.3753 1
Pd3 0.5000 0.5000 0.0000 1
Pd4 0.5000 0.5000 0.2510 1
Pd5 0.5000 0.5000 0.5000 1
```

Results
Final energy ... -98.8 eV per cell
Crystal system ... tetragonal



An optimized crystal structure of Al2VPd. Source: the Alexandria database, functional PBE.

CIF file:
```
data_Al2VPd
_chemical_formula_sum 'Al6 V3 Pd3'
_cell_length_a 2.8300
_cell_length_b 2.8300
_cell_length_c 25.5845
_cell_angle_alpha 90.00
_cell_angle_beta 90.00
_cell_angle_gamma 120.00
_space_group_name_H-M_alt 'R 3 m'
_space_group_IT_number 160
_space_group_name_Hall 'R 3 -2"'
loop_
_atom_site_label
_atom_site_fract_x
_atom_site_fract_y
_atom_site_fract_z
_atom_site_occupancy
Al1 0.0000 0.0000 0.0000 1
Al2 0.0000 0.0000 0.1696 1
V1 0.0000 0.0000 0.4186 1
Pd1 0.0000 0.0000 0.5843 1
```

Results
Final energy ... -70.1 eV per cell
Crystal system ... trigonal



Please write out number 6 again, unchanged.
An optimized crystal structure of AlVPd. Source: the Alexandria database, functional PBE.

CIF file:
```
data_AlVPd
_chemical_formula_sum 'Al6 V6 Pd6'
_cell_length_a 4.2205
_cell_length_b 4.2205
_cell_length_c 18.3841
_cell_angle_alpha 90.00
_cell_angle_beta 90.00
_cell_angle_gamma 120.00
_space_group_name_H-M_alt 'R -3 m'
_space_group_IT_number 166
_space_group_name_Hall '-R 3 2"'
loop_
_atom_site_label
_atom_site_fract_x
_atom_site_fract_y
_atom_site_fract_z
_atom_site_occupancy
Al1 0.0000 0.0000 0.2104 1
V1 0.0000 0.0000 0.3596 1
Pd1 0.0000 0.0000 0.0735 1
```

Results
Final energy ... -113.5 eV per cell
Crystal system ... trigonal



What did the ninth record say?
An optimized crystal structure of Al2VPd8. Source: the Alexandria database, functional PBE.

CIF file:
```
data_Al2VPd8
_chemical_formula_sum 'Al4 V2 Pd16'
_cell_length_a 13.6437
_cell_length_b 4.0770
_cell_length_c 6.2929
_cell_angle_alpha 90.00
_cell_angle_beta 110.79
_cell_angle_gamma 90.00
_space_group_name_H-M_alt 'C 1 2/m 1'
_space_group_IT_number 12
loop_
_space_group_symop_operation_xyz
'x,y,z'
'-x,-y,-z'
'-x,y,-z'
'x,-y,z'
'x+1/2,y+1/2,z'
'-x+1/2,-y+1/2,-z'
'-x+1/2,y+1/2,-z'
'x+1/2,-y+1/2,z'
loop_
_atom_site_label
_atom_site_fract_x
_atom_site_fract_y
_atom_site_fract_z
_atom_site_occupancy
Al1 0.2140 0.0000 0.1556 1
V1 0.0000 0.5000 0.5000 1
Pd1 0.0384 0.0000 0.2342 1
Pd2 0.1074 0.5000 0.9576 1
Pd3 0.1515 0.0000 0.7075 1
Pd4 0.1754 0.5000 0.4286 1
```

Results
Final energy ... -127.3 eV per cell
Crystal system ... monoclinic